Record 1
Compound: HfHN2O
Source: Alexandria via LeMat-Bulk
Functional: PBE
Structure: optimized geometry

abc: 4.417 4.417 4.006
angles: 90.00 90.00 90.00
Space group P4/mmm (No. 123)
Inequivalent atoms, fractional coordinates:
Hf 0.000 0.000 0.000 x1
H 0.500 0.500 0.500 x1
N 0.000 0.500 0.000 x2
O 0.000 0.000 0.500 x1

Uncorrected energy: -6.5190 eV per atom
Total magnetic moment: 3.005 μB/f.u.

=====

Record 2
Compound: HfHNO2
Source: Alexandria via LeMat-Bulk
Functional: PBE
Structure: optimized geometry

abc: 4.067 4.067 4.510
angles: 90.00 90.00 90.00
Space group P4/mmm (No. 123)
Inequivalent atoms, fractional coordinates:
Hf 0.000 0.000 0.000 x1
H 0.500 0.500 0.500 x1
N 0.000 0.000 0.500 x1
O 0.000 0.500 0.000 x2

Uncorrected energy: -6.7217 eV per atom
Total magnetic moment: 2.001 μB/f.u.

=====

Record 3
Compound: HfHNO2
Source: Alexandria via LeMat-Bulk
Functional: PBE
Structure: optimized geometry

abc: 3.398 3.398 3.321
angles: 90.00 90.00 90.00
Space group P4/mmm (No. 123)
Inequivalent atoms, fractional coordinates:
Hf 0.000 0.000 0.000 x1
H 0.500 0.500 0.500 x1
N 0.500 0.500 0.000 x1
O 0.000 0.500 0.500 x2

Uncorrected energy: -6.7842 eV per atom
Total magnetic moment: 0.025 μB/f.u.

=====

Record 4
Compound: HfHN2O
Source: Alexandria via LeMat-Bulk
Functional: PBE
Structure: optimized geometry

abc: 3.042 3.042 4.250
angles: 90.00 90.00 90.00
Space group P4/mmm (No. 123)
Inequivalent atoms, fractional coordinates:
Hf 0.000 0.000 0.000 x1
H 0.500 0.500 0.500 x1
N 0.000 0.500 0.500 x2
O 0.500 0.500 0.000 x1

Uncorrected energy: -7.0217 eV per atom
Total magnetic moment: 0.000 μB/f.u.

=====

Record 5
Compound: Hf2HPbN
Source: Alexandria via LeMat-Bulk
Functional: PBE
Structure: optimized geometry

abc: 4.109 4.109 4.880
angles: 90.00 90.00 90.00
Space group P4/mmm (No. 123)
Inequivalent atoms, fractional coordinates:
Hf 0.000 0.500 0.000 x2
H 0.000 0.000 0.000 x1
Pb 0.000 0.000 0.500 x1
N 0.500 0.500 0.500 x1

Uncorrected energy: -6.2424 eV per atom
Total magnetic moment: 0.000 μB/f.u.

=====

Record 6
Compound: HfHRh2N
Source: Alexandria via LeMat-Bulk
Functional: PBE
Structure: optimized geometry

abc: 3.825 3.825 4.655
angles: 90.00 90.00 90.00
Space group P4/mmm (No. 123)
Inequivalent atoms, fractional coordinates:
Hf 0.000 0.000 0.000 x1
H 0.500 0.500 0.000 x1
Rh 0.000 0.500 0.500 x2
N 0.500 0.500 0.500 x1

Uncorrected energy: -7.0133 eV per atom
Total magnetic moment: 0.000 μB/f.u.

=====

Record 7
Compound: HfHSN2
Source: Alexandria via LeMat-Bulk
Functional: PBE
Structure: optimized geometry

abc: 4.249 4.249 5.037
angles: 90.00 90.00 90.00
Space group P4/mmm (No. 123)
Inequivalent atoms, fractional coordinates:
Hf 0.000 0.000 0.000 x1
H 0.500 0.500 0.500 x1
S 0.000 0.000 0.500 x1
N 0.000 0.500 0.000 x2

Uncorrected energy: -5.8934 eV per atom
Total magnetic moment: 3.639 μB/f.u.

=====

Record 8
Compound: HfHS2N
Source: Alexandria via LeMat-Bulk
Functional: PBE
Structure: optimized geometry

abc: 4.976 4.976 4.261
angles: 90.00 90.00 90.00
Space group P4/mmm (No. 123)
Inequivalent atoms, fractional coordinates:
Hf 0.000 0.000 0.000 x1
H 0.500 0.500 0.500 x1
S 0.000 0.500 0.000 x2
N 0.000 0.000 0.500 x1

Uncorrected energy: -5.5241 eV per atom
Total magnetic moment: 2.635 μB/f.u.

=====

Record 9
Compound: HfHS2N
Source: Alexandria via LeMat-Bulk
Functional: PBE
Structure: optimized geometry

abc: 3.354 3.354 5.396
angles: 90.00 90.00 90.00
Space group P4/mmm (No. 123)
Inequivalent atoms, fractional coordinates:
Hf 0.000 0.000 0.000 x1
H 0.500 0.500 0.500 x1
S 0.000 0.500 0.500 x2
N 0.500 0.500 0.000 x1

Uncorrected energy: -5.7214 eV per atom
Total magnetic moment: 0.000 μB/f.u.

=====

Record 10
Compound: HfHSN2
Source: Alexandria via LeMat-Bulk
Functional: PBE
Structure: optimized geometry

abc: 3.905 3.905 3.094
angles: 90.00 90.00 90.00
Space group P4/mmm (No. 123)
Inequivalent atoms, fractional coordinates:
Hf 0.000 0.000 0.000 x1
H 0.500 0.500 0.500 x1
S 0.500 0.500 0.000 x1
N 0.000 0.500 0.500 x2

Uncorrected energy: -6.0893 eV per atom
Total magnetic moment: 0.255 μB/f.u.

=====

Record 11
Compound: HfHSeN2
Source: Alexandria via LeMat-Bulk
Functional: PBE
Structure: optimized geometry

abc: 4.019 4.019 3.186
angles: 90.00 90.00 90.00
Space group P4/mmm (No. 123)
Inequivalent atoms, fractional coordinates:
Hf 0.000 0.000 0.000 x1
H 0.500 0.500 0.500 x1
Se 0.500 0.500 0.000 x1
N 0.000 0.500 0.500 x2

Uncorrected energy: -5.8331 eV per atom
Total magnetic moment: 0.246 μB/f.u.

=====

Record 12
Compound: HfHSe2N
Source: Alexandria via LeMat-Bulk
Functional: PBE
Structure: optimized geometry

abc: 3.630 3.630 5.319
angles: 90.00 90.00 90.00
Space group P4/mmm (No. 123)
Inequivalent atoms, fractional coordinates:
Hf 0.000 0.000 0.000 x1
H 0.500 0.500 0.500 x1
Se 0.000 0.500 0.500 x2
N 0.500 0.500 0.000 x1

Uncorrected energy: -5.1758 eV per atom
Total magnetic moment: 0.000 μB/f.u.